No. 1
A plane-wave DFT calculation with GGA-PBE was carried out for Pm2InCo2 after structural relaxation.

```
Pm2InCo2
1.0
1.9444 -7.1301 0.0000
1.9444 7.1301 0.0000
0.0000 0.0000 3.9894
Pm In Co
2 1 2
Direct
0.1372 0.8628 0.0000
0.8628 0.1372 0.0000
0.5000 0.5000 0.5000
0.2920 0.7080 0.5000
0.7080 0.2920 0.5000
```

formation enthalpy at 0 K: -6.41 kcal/mol of atoms
space-group type: Cmmm
D(E_F): 4.8 states/eV/f.u.


No. 2
A plane-wave DFT calculation with GGA-PBE was carried out for PmInCo4 after structural relaxation.

```
PmInCo4
1.0
0.0000 3.5689 3.5689
3.5689 0.0000 3.5689
3.5689 3.5689 0.0000
Pm In Co
1 1 4
Direct
0.0000 0.0000 0.0000
0.2500 0.2500 0.2500
0.1277 0.6241 0.6241
0.6241 0.1277 0.6241
0.6241 0.6241 0.1277
0.6241 0.6241 0.6241
```

formation enthalpy at 0 K: -1.50 kcal/mol of atoms
space-group type: F-43m
D(E_F): 8.7 states/eV/f.u.


No. 3
A plane-wave DFT calculation with GGA-PBE was carried out for Pm2In8Co after structural relaxation.

```
Pm2In8Co
1.0
4.6353 0.0000 0.0000
0.0000 4.6353 0.0000
0.0000 0.0000 12.3083
Pm In Co
2 8 1
Direct
0.0000 0.0000 0.1940
0.0000 0.0000 0.8060
0.0000 0.5000 0.0000
0.0000 0.5000 0.3829
0.0000 0.5000 0.6171
0.5000 0.0000 0.0000
0.5000 0.0000 0.3829
0.5000 0.0000 0.6171
0.5000 0.5000 0.1919
0.5000 0.5000 0.8081
0.0000 0.0000 0.5000
```

formation enthalpy at 0 K: -7.82 kcal/mol of atoms
space-group type: P4/mmm
D(E_F): 6.4 states/eV/f.u.


Copy entry 1 word for word.
A plane-wave DFT calculation with GGA-PBE was carried out for Pm2InCo2 after structural relaxation.

```
Pm2InCo2
1.0
1.9444 -7.1301 0.0000
1.9444 7.1301 0.0000
0.0000 0.0000 3.9894
Pm In Co
2 1 2
Direct
0.1372 0.8628 0.0000
0.8628 0.1372 0.0000
0.5000 0.5000 0.5000
0.2920 0.7080 0.5000
0.7080 0.2920 0.5000
```

formation enthalpy at 0 K: -6.41 kcal/mol of atoms
space-group type: Cmmm
D(E_F): 4.8 states/eV/f.u.


Copy entry 1 word for word.
A plane-wave DFT calculation with GGA-PBE was carried out for Pm2InCo2 after structural relaxation.

```
Pm2InCo2
1.0
1.9444 -7.1301 0.0000
1.9444 7.1301 0.0000
0.0000 0.0000 3.9894
Pm In Co
2 1 2
Direct
0.1372 0.8628 0.0000
0.8628 0.1372 0.0000
0.5000 0.5000 0.5000
0.2920 0.7080 0.5000
0.7080 0.2920 0.5000
```

formation enthalpy at 0 K: -6.41 kcal/mol of atoms
space-group type: Cmmm
D(E_F): 4.8 states/eV/f.u.


Question: formation enthalpy at 0 K of number 3 (Pm2In8Co)?
Answer: -7.82 kcal/mol of atoms